Record 1
3
Lattice="7.315 0.000 0.000 6.298 3.720 0.000 6.298 1.721 3.298" Properties=species:S:1:pos:R:3 comment="PBE Sr2N, relaxed" crystal_system=trigonal space_group="No. 166" pbc="T T T"
Sr 14.583 3.985 2.415
Sr 5.329 1.456 0.883
N 0.000 0.000 0.000

=====

Record 2
8
Lattice="-3.149 -2.172 5.830 -5.086 -2.866 -3.814 2.013 -3.356 -0.163" Properties=species:S:1:pos:R:3 comment="PBE SrN, relaxed" crystal_system=tetragonal space_group="No. 136" pbc="T T T"
Sr -3.575 -4.363 -1.385
Sr -2.646 -4.031 3.238
Sr -1.974 -1.208 0.483
Sr -6.260 -3.831 1.533
N -4.248 -2.566 0.357
N -3.986 -2.472 1.660
N 0.450 -2.018 0.055
N -6.671 -6.376 1.798

=====

Record 3
16
Lattice="7.864 0.000 0.000 0.000 7.864 0.000 0.000 0.000 7.864" Properties=species:S:1:pos:R:3 comment="PBE SrN, relaxed" crystal_system=cubic space_group="No. 217" pbc="T T T"
N 5.124 5.124 5.124
N 1.192 1.192 1.192
N 2.740 5.124 2.740
N 2.740 2.740 5.124
N 6.672 1.192 6.672
N 5.124 2.740 2.740
N 1.192 6.672 6.672
N 6.672 6.672 1.192
Sr 6.528 6.528 6.528
Sr 5.267 5.267 2.597
Sr 1.335 1.335 6.528
Sr 6.528 1.335 1.335
Sr 2.597 5.267 5.267
Sr 1.335 6.528 1.335
Sr 5.267 2.597 5.267
Sr 2.597 2.597 2.597

=====

Record 4
5
Lattice="-5.317 1.520 -0.950 -1.109 -5.125 -1.997 -1.409 -1.705 5.157" Properties=species:S:1:pos:R:3 comment="PBE Sr4N, relaxed" crystal_system=cubic space_group="No. 221" polymorph_energy_ev_per_atom=0.145 pbc="T T T"
Sr 0.000 0.000 0.000
Sr -3.363 -0.092 2.103
Sr -1.259 -3.415 1.580
Sr -3.213 -1.803 -1.474
N -3.918 -2.655 1.105

=====

Record 5
16
Lattice="-0.467 -3.934 5.774 6.331 -2.234 -1.010 2.851 6.098 4.386" Properties=species:S:1:pos:R:3 comment="PBE SrN, relaxed" crystal_system=orthorhombic space_group="No. 19" pbc="T T T"
N 1.172 -0.976 3.280
N 5.026 4.783 4.131
N 4.188 0.423 8.723
N 0.706 -2.200 3.270
N 5.089 -0.391 3.925
N 6.610 -2.331 6.973
N 4.679 -1.636 3.907
N 7.392 2.048 2.390
Sr 6.501 -3.324 4.672
Sr 4.640 -0.703 6.425
Sr 7.223 -0.632 2.437
Sr 2.723 4.662 5.360
Sr 2.211 1.782 7.720
Sr 2.844 -3.467 4.077
Sr 3.343 -0.696 1.878
Sr 5.375 2.099 4.029

=====

Record 6
16
Lattice="5.196 0.000 0.000 0.000 8.716 0.000 0.000 0.000 8.716" Properties=species:S:1:pos:R:3 comment="PBE SrN, relaxed" crystal_system=tetragonal space_group="No. 127" pbc="T T T"
Sr 2.598 5.437 1.080
Sr 0.000 6.987 2.629
Sr 2.598 3.278 7.636
Sr 0.000 2.629 1.729
Sr 0.000 1.729 6.087
Sr 0.000 6.087 6.987
Sr 2.598 7.636 5.437
Sr 2.598 1.080 3.278
N 2.598 1.517 5.875
N 2.598 7.199 2.841
N 0.000 3.894 8.252
N 0.000 4.822 0.464
N 2.598 2.841 1.517
N 0.000 8.252 4.822
N 2.598 5.875 7.199
N 0.000 0.464 3.894

=====

Record 7
16
Lattice="10.436 0.000 0.000 0.000 10.436 0.000 0.000 0.000 4.109" Properties=species:S:1:pos:R:3 comment="PBE SrN, relaxed" crystal_system=tetragonal space_group="No. 83" pbc="T T T"
Sr 1.269 2.810 0.000
Sr 4.675 2.237 2.054
Sr 2.237 5.761 2.054
Sr 5.761 8.200 2.054
Sr 9.168 7.626 0.000
Sr 8.200 4.675 2.054
Sr 2.810 9.168 0.000
Sr 7.626 1.269 0.000
N 4.889 0.537 0.000
N 7.136 2.476 2.054
N 0.537 5.547 0.000
N 2.476 3.300 2.054
N 3.300 7.960 2.054
N 5.547 9.899 0.000
N 9.899 4.889 0.000
N 7.960 7.136 2.054

=====

Record 8
6
Lattice="-2.359 2.359 7.389 2.359 -2.359 7.389 2.359 2.359 -7.389" Properties=species:S:1:pos:R:3 comment="PBE SrN2, relaxed" crystal_system=tetragonal space_group="No. 141" pbc="T T T"
N 0.000 0.000 2.647
N 0.000 2.359 6.341
N 0.000 0.000 12.131
N 0.000 2.359 1.048
Sr 0.000 0.000 0.000
Sr 0.000 2.359 3.694

=====

| no. | raw formation energy (eV/atom) |
| --- | --- |
| 1 | -0.5497 |
| 2 | -0.3211 |
| 3 | 0.1434 |
| 4 | -0.1191 |
| 5 | -0.3433 |
| 6 | -0.1801 |
| 7 | -0.3137 |
| 8 | 1.5418 |